# CsSrSb | Alexandria via LeMat-Bulk | GGA-PBE | relaxed
data_CsSrSb
_chemical_formula_sum 'Cs2 Sr2 Sb2'
_symmetry_space_group_name_H-M 'P 1'
_symmetry_Int_Tables_number 1
_cell_length_a 4.612
_cell_length_b 4.612
_cell_length_c 13.897
_cell_angle_alpha 90.00
_cell_angle_beta 90.00
_cell_angle_gamma 90.00
loop_
_symmetry_equiv_pos_as_xyz
'x,y,z'
loop_
_atom_site_label
_atom_site_fract_x
_atom_site_fract_y
_atom_site_fract_z
Cs1 0.000 0.000 0.000
Cs2 0.500 0.500 0.500
Sr1 0.000 0.000 0.255
Sr2 0.500 0.500 0.755
Sb1 0.000 0.000 0.706
Sb2 0.500 0.500 0.206
# crystal system: tetragonal
# final energy: -2.767 eV/atom
# DOS(E_F): 1.958 states/eV/cell
# mass density: 3.85 g/cm³
# ΔE_f (raw): -0.547 eV per atom